CeH4Pt | PBE | relaxed

The value obtained for the density of states at the Fermi level is 1.1986 states/eV/atom. As for the space-group type: Immm (71). The total energy comes out at -4.702 eV/atom.

```
CeH4Pt
1.0
3.840 0.006 1.781
1.346 3.818 2.121
0.219 0.062 4.565
H Pt Ce
4 1 1
Cartesian
2.064 1.748 5.640
3.362 2.160 2.833
2.585 3.484 4.510
2.841 0.423 3.963
2.149 0.076 5.459
0.793 1.951 3.346
```